DFT (PBE) results for a relaxed Sr4InNi crystal.

Output
The value obtained for the energy above the most stable polymorph in this dataset is 0.761 eV/atom. The density of states at the Fermi level comes out at 1.2545 states/eV/atom. The calculation puts the formation energy at 709 meV per atom. The calculation puts the calculated volume at 39.114 Å³ per atom. The space-group type is F-43m.

Cell lengths 6.924, 6.924, 6.924 Å; angles 60.00, 60.00, 60.00 degrees
Atoms (fractional coordinates):
Sr 0.125 0.125 0.125
Sr 0.125 0.125 0.625
Sr 0.125 0.625 0.125
Sr 0.625 0.125 0.125
In 0.750 0.750 0.750
Ni 0.500 0.500 0.500

DFT (PBE) results for a relaxed Sr2In12Ni7 crystal.

Output
The density of states at the Fermi level comes out at 0.3855 states/eV/atom. The calculation puts the formation energy at -171 meV per atom. The calculation puts the calculated volume at 20.431 Å³ per atom. The space-group type is P-6.

Cell lengths 10.706, 10.706, 4.322 Å; angles 90.00, 90.00, 120.00 degrees
Atoms (fractional coordinates):
Sr 0.000 0.000 0.000
Sr 0.333 0.667 0.500
In 0.034 0.276 0.500
In 0.133 0.731 0.000
In 0.241 0.966 0.500
In 0.269 0.401 0.000
In 0.380 0.194 0.000
In 0.543 0.428 0.500
In 0.572 0.115 0.500
In 0.599 0.867 0.000
In 0.724 0.759 0.500
In 0.806 0.186 0.000
In 0.814 0.620 0.000
In 0.885 0.457 0.500
Ni 0.036 0.446 0.000
Ni 0.256 0.235 0.500
Ni 0.410 0.964 0.000
Ni 0.554 0.590 0.000
Ni 0.667 0.333 0.000
Ni 0.765 0.021 0.500
Ni 0.979 0.744 0.500